FeSn3O | PBE+U | relaxed

Output
For the electronic total energy, the calculation gives -18.97 eV per cell. The density of states at the Fermi level comes out at 0.3 states/eV per cell.

abc: 4.8443 4.8443 4.8443
angles: 90.00 90.00 90.00
Site moments in Bohr magnetons follow the coordinates.
Fractional positions:
1 Sn 0.0000 0.0000 0.5000  -0.09
2 O 0.5000 0.5000 0.5000  -0.44
3 Fe 0.0000 0.0000 0.0000  1.10
4 Sn 0.5000 0.0000 0.0000  -0.14
5 Sn 0.0000 0.5000 0.0000  -0.11